# BaAlNi

BaAlNi after structural relaxation (PBE-GGA, the Alexandria database).

The total energy is -3.87 eV/atom. The space group is I4mm (107). Its formation energy is -0.05 eV per atom.

a b c (Å): 6.545 6.545 3.325
angles (deg): 75.28 75.28 29.43
Positions (direct):
1 Ni 0.622 0.622 0.378
2 Al 0.053 0.053 0.947
3 Ba 0.325 0.325 0.675


# BaAl2Ni

BaAl2Ni after structural relaxation (PBE-GGA, the Alexandria database).

The total energy is -4.11 eV/atom. The space group is Cm (8). Its formation energy is -0.32 eV per atom.

a b c (Å): 4.314 4.314 6.537
angles (deg): 70.68 70.68 60.01
Positions (direct):
1 Ba 0.498 0.498 0.506
2 Al 0.308 0.308 0.075
3 Ni 0.675 0.675 0.973
4 Al 0.018 0.018 0.946


# BaAl2Ni

BaAl2Ni after structural relaxation (PBE-GGA, the Alexandria database).

The total energy is -3.94 eV/atom. The space group is I4_1/amd (141). Its formation energy is -0.14 eV per atom.

a b c (Å): 5.710 5.710 8.017
angles (deg): 69.14 69.14 90.00
Positions (direct):
1 Ba 0.000 0.000 0.000
2 Al 0.875 0.625 0.750
3 Al 0.375 0.625 0.750
4 Ba 0.750 0.250 0.500
5 Ni 0.250 0.750 0.500
6 Ni 0.500 0.500 0.000
7 Al 0.375 0.125 0.250
8 Al 0.375 0.625 0.250


# BaAl2Ni

BaAl2Ni after structural relaxation (PBE-GGA, the Alexandria database).

The total energy is -3.71 eV/atom. The space group is Immm (71). Its formation energy is 0.08 eV per atom.

a b c (Å): 5.934 5.934 5.934
angles (deg): 148.21 121.89 67.77
Positions (direct):
1 Ni 0.750 0.250 0.500
2 Al 0.563 0.563 0.000
3 Ba 0.250 0.750 0.500
4 Al 0.937 0.937 0.000


# BaAlNi

BaAlNi after structural relaxation (PBE-GGA, the Alexandria database).

The total energy is -3.26 eV/atom. The space group is F-43m (216). Its formation energy is 0.56 eV per atom.

a b c (Å): 4.952 4.952 4.952
angles (deg): 60.00 60.00 60.00
Positions (direct):
1 Al 0.250 0.250 0.250
2 Ba 0.000 0.000 0.000
3 Ni 0.500 0.500 0.500


# BaAl2Ni

BaAl2Ni after structural relaxation (PBE-GGA, the Alexandria database).

The total energy is -3.91 eV/atom. The space group is Pm (6). Its formation energy is -0.11 eV per atom.

a b c (Å): 4.210 3.800 6.588
angles (deg): 73.12 90.00 90.00
Positions (direct):
1 Ni 0.500 0.884 0.857
2 Ba 0.000 0.541 0.546
3 Al 0.500 0.269 0.086
4 Al 0.000 0.806 0.011